The following is a DFT calculation (PBE+U) of a relaxed LaMn3B4O12 crystal.

The structure belongs to space group R32 (No. 155, hexagonal axes); the cell edges are 9.5976, 9.5976 and 7.6468 Å and the angles 90.00°, 90.00° and 120.00°. Symmetry generates all atoms from La at (0.0000, 0.0000, 0.0000), Mn at (0.0000, 0.5566, 0.0000), B at (0.0000, 0.0000, 0.5000), B at (0.0000, 0.4404, 0.5000), O at (0.0000, 0.5866, 0.5000), O at (0.0000, 0.8547, 0.5000) and O at (0.0307, 0.2187, 0.1882).

The total energy comes out at -465.30 eV per cell. The calculation puts the calculated density at 4.40 g cm⁻³.